This record from the Alexandria database describes a geometry-optimized Pm2Os structure. The functional is PBE-GGA.

Cell lengths 3.469, 3.469, 13.825 Å; angles 90.00, 90.00, 90.00 degrees
Space group I4/mmm (No. 139)
One atom of each set of equivalent atoms:
Pm  0.000  0.000  0.123
Os  0.000  0.000  0.500

## Properties
Energy of formation (eV per atom): -0.068
Raw total energy (eV per atom): -6.98
Energy above the lowest structure with this stoichiometry (eV per formula unit): 0.05